# 1
The following is a DFT calculation (PBE) of a relaxed structure of Ho5IrS4.

raw formation energy	-1.7083	eV per atom
density of states at the Fermi level	5.058	states/eV per cell
crystal system	tetragonal

a = 14.2536 Å, b = 14.2536 Å, c = 14.2536 Å
α = 164.18°, β = 164.18°, γ = 22.44°
Sites, in units of the cell vectors:
Ho  0.0000  0.0000  0.0000
Ho  0.2035  0.2035  0.0000
Ho  0.4022  0.4022  0.0000
Ho  0.5978  0.5978  0.0000
Ho  0.7965  0.7965  0.0000
Ir  0.5000  0.5000  0.0000
S  0.1048  0.1048  0.0000
S  0.3023  0.3023  0.0000
S  0.6977  0.6977  0.0000
S  0.8952  0.8952  0.0000



# 2
The following is a DFT calculation (PBE) of a relaxed structure of Ho3IrS2.

raw formation energy	-1.5304	eV per atom
density of states at the Fermi level	7.473	states/eV per cell
crystal system	tetragonal

a = 3.9551 Å, b = 3.9551 Å, c = 16.9661 Å
α = 90.00°, β = 90.00°, γ = 90.00°
Sites, in units of the cell vectors:
Ho  0.0000  0.0000  0.0000
Ho  0.0000  0.0000  0.3397
Ho  0.0000  0.0000  0.6603
Ho  0.5000  0.5000  0.1603
Ho  0.5000  0.5000  0.5000
Ho  0.5000  0.5000  0.8397
Ir  0.0000  0.0000  0.5000
Ir  0.5000  0.5000  0.0000
S  0.0000  0.0000  0.1747
S  0.0000  0.0000  0.8253
S  0.5000  0.5000  0.3253
S  0.5000  0.5000  0.6747



# 3
The following is a DFT calculation (PBE) of a relaxed structure of Ho6IrS5.

raw formation energy	-1.7784	eV per atom
density of states at the Fermi level	6.961	states/eV per cell
crystal system	monoclinic

a = 6.8326 Å, b = 6.8326 Å, c = 6.7954 Å
α = 99.67°, β = 99.67°, γ = 119.93°
Sites, in units of the cell vectors:
Ho  0.0806  0.4080  0.2440
Ho  0.2451  0.2451  0.7531
Ho  0.4080  0.0806  0.2440
Ho  0.5920  0.9194  0.7560
Ho  0.7549  0.7549  0.2469
Ho  0.9194  0.5920  0.7560
Ir  0.0000  0.0000  0.0000
S  0.1722  0.8278  0.5000
S  0.3340  0.6660  0.0000
S  0.5000  0.5000  0.5000
S  0.6660  0.3340  0.0000
S  0.8278  0.1722  0.5000



# 4
The following is a DFT calculation (PBE) of a relaxed structure of Ho7IrS5.

raw formation energy	-1.6884	eV per atom
density of states at the Fermi level	11.547	states/eV per cell
crystal system	monoclinic

a = 3.8333 Å, b = 23.4025 Å, c = 6.6951 Å
α = 90.00°, β = 106.59°, γ = 90.00°
Sites, in units of the cell vectors:
Ho  0.0392  0.0000  0.0760
Ho  0.1316  0.7160  0.2635
Ho  0.1456  0.2880  0.2928
Ho  0.2979  0.9302  0.5939
Ho  0.3105  0.0719  0.6195
Ho  0.3983  0.6338  0.7977
Ho  0.4164  0.3599  0.8350
Ho  0.5836  0.8599  0.1650
Ho  0.6017  0.1338  0.2023
Ho  0.6895  0.5719  0.3805
Ho  0.7021  0.4302  0.4061
Ho  0.8544  0.7880  0.7072
Ho  0.8684  0.2160  0.7365
Ho  0.9608  0.5000  0.9240
Ir  0.3058  0.5081  0.6130
Ir  0.6942  0.0081  0.3870
S  0.0446  0.6107  0.0910
S  0.0563  0.3924  0.1153
S  0.2181  0.8224  0.4347
S  0.2314  0.1804  0.4623
S  0.4910  0.7492  0.9815
S  0.5090  0.2492  0.0185
S  0.7686  0.6804  0.5377
S  0.7819  0.3224  0.5653
S  0.9437  0.8924  0.8847
S  0.9554  0.1107  0.9090



# 5
The following is a DFT calculation (PBE) of a relaxed structure of Ho4IrS3.

raw formation energy	-1.6484	eV per atom
density of states at the Fermi level	11.264	states/eV per cell
crystal system	orthorhombic

a = 8.0352 Å, b = 11.2313 Å, c = 3.8942 Å
α = 90.00°, β = 90.00°, γ = 90.00°
Sites, in units of the cell vectors:
Ho  0.0000  0.2450  0.0000
Ho  0.0000  0.7550  0.0000
Ho  0.2398  0.0000  0.5000
Ho  0.2602  0.5000  0.5000
Ho  0.5000  0.2550  0.0000
Ho  0.5000  0.7450  0.0000
Ho  0.7398  0.5000  0.5000
Ho  0.7602  0.0000  0.5000
Ir  0.0000  0.0000  0.0000
Ir  0.5000  0.5000  0.0000
S  0.0000  0.5000  0.0000
S  0.2500  0.2500  0.5000
S  0.2500  0.7500  0.5000
S  0.5000  0.0000  0.0000
S  0.7500  0.2500  0.5000
S  0.7500  0.7500  0.5000



# 6
The following is a DFT calculation (PBE) of a relaxed structure of Ho2IrS.

raw formation energy	-1.3049	eV per atom
density of states at the Fermi level	5.728	states/eV per cell
crystal system	trigonal

a = 3.8680 Å, b = 3.8680 Å, c = 20.8011 Å
α = 90.00°, β = 90.00°, γ = 120.00°
Sites, in units of the cell vectors:
Ho  0.0000  0.0000  0.2468
Ho  0.0000  0.0000  0.7532
Ho  0.3333  0.6667  0.4198
Ho  0.3333  0.6667  0.9135
Ho  0.6667  0.3333  0.0865
Ho  0.6667  0.3333  0.5802
Ir  0.0000  0.0000  0.5000
Ir  0.3333  0.6667  0.1667
Ir  0.6667  0.3333  0.8333
S  0.0000  0.0000  0.0000
S  0.3333  0.6667  0.6667
S  0.6667  0.3333  0.3333



# 7
The following is a DFT calculation (PBE) of a relaxed structure of Ho4IrSe2S.

raw formation energy	-1.5668	eV per atom
density of states at the Fermi level	5.635	states/eV per cell
crystal system	monoclinic

a = 7.0644 Å, b = 3.9702 Å, c = 7.0994 Å
α = 90.00°, β = 108.71°, γ = 90.00°
Sites, in units of the cell vectors:
Ho  0.2326  0.0000  0.2238
Ho  0.2496  0.5000  0.7702
Ho  0.7504  0.5000  0.2298
Ho  0.7674  0.0000  0.7762
Ir  0.0000  0.5000  0.0000
Se  0.0000  0.0000  0.5000
Se  0.5000  0.5000  0.5000
S  0.5000  0.0000  0.0000



# 8
The following is a DFT calculation (PBE) of a relaxed structure of Ho6Te3Ir2S.

raw formation energy	-1.2762	eV per atom
density of states at the Fermi level	5.750	states/eV per cell
crystal system	monoclinic

a = 7.1617 Å, b = 7.1617 Å, c = 7.5269 Å
α = 99.27°, β = 99.27°, γ = 120.10°
Sites, in units of the cell vectors:
Ho  0.0882  0.4319  0.7922
Ho  0.2254  0.2254  0.2077
Ho  0.4319  0.0882  0.7922
Ho  0.5681  0.9118  0.2078
Ho  0.7746  0.7746  0.7923
Ho  0.9118  0.5681  0.2078
Te  0.0000  0.0000  0.5000
Te  0.3366  0.6634  0.5000
Te  0.6634  0.3366  0.5000
Ir  0.1671  0.8329  0.0000
Ir  0.8329  0.1671  0.0000
S  0.5000  0.5000  0.0000



# 9
The following is a DFT calculation (PBE) of a relaxed structure of HoThIrS.

raw formation energy	-1.2772	eV per atom
density of states at the Fermi level	5.254	states/eV per cell
crystal system	trigonal

a = 3.9255 Å, b = 3.9255 Å, c = 21.9124 Å
α = 90.00°, β = 90.00°, γ = 120.00°
Sites, in units of the cell vectors:
Ho  0.0000  0.0000  0.0000
Ho  0.3333  0.6667  0.6667
Ho  0.6667  0.3333  0.3333
Th  0.0000  0.0000  0.1803
Th  0.3333  0.6667  0.8469
Th  0.6667  0.3333  0.5136
Ir  0.0000  0.0000  0.5895
Ir  0.3333  0.6667  0.2562
Ir  0.6667  0.3333  0.9228
S  0.0000  0.0000  0.4172
S  0.3333  0.6667  0.0839
S  0.6667  0.3333  0.7505



# 10
The following is a DFT calculation (PBE) of a relaxed structure of Ho3Sb4Ir3.

raw formation energy	-0.7590	eV per atom
density of states at the Fermi level	21.777	states/eV per cell
crystal system	cubic

a = 8.4482 Å, b = 8.4482 Å, c = 8.4482 Å
α = 109.47°, β = 109.47°, γ = 109.47°
Sites, in units of the cell vectors:
Ho  0.1250  0.8750  0.2500
Ho  0.2500  0.1250  0.8750
Ho  0.3750  0.6250  0.7500
Ho  0.6250  0.7500  0.3750
Ho  0.7500  0.3750  0.6250
Ho  0.8750  0.2500  0.1250
Sb  0.0000  0.1467  0.5000
Sb  0.0000  0.6467  0.5000
Sb  0.1467  0.5000  0.0000
Sb  0.3533  0.3533  0.3533
Sb  0.5000  0.0000  0.1467
Sb  0.5000  0.0000  0.6467
Sb  0.6467  0.5000  0.0000
Sb  0.8533  0.8533  0.8533
Ir  0.1250  0.7500  0.8750
Ir  0.2500  0.6250  0.3750
Ir  0.3750  0.2500  0.6250
Ir  0.6250  0.3750  0.2500
Ir  0.7500  0.8750  0.1250
Ir  0.8750  0.1250  0.7500



# 11
The following is a DFT calculation (PBE) of a relaxed structure of Ho4SbIr2.

raw formation energy	-0.6755	eV per atom
density of states at the Fermi level	8.487	states/eV per cell
crystal system	orthorhombic

a = 8.0266 Å, b = 8.0266 Å, c = 8.0266 Å
α = 110.99°, β = 110.95°, γ = 106.51°
Sites, in units of the cell vectors:
Ho  0.2248  0.2900  0.5652
Ho  0.2248  0.6597  0.9348
Ho  0.2900  0.2248  0.0652
Ho  0.3404  0.7752  0.5652
Ho  0.6596  0.2248  0.4348
Ho  0.7100  0.7752  0.9348
Ho  0.7752  0.3403  0.0652
Ho  0.7752  0.7100  0.4348
Sb  0.1247  0.8747  0.2500
Sb  0.8753  0.1253  0.7500
Ir  0.0000  0.5000  0.5000
Ir  0.5000  0.0000  0.0000
Ir  0.5000  0.5000  0.0000
Ir  0.5000  0.5000  0.5000



# 12
The following is a DFT calculation (PBE) of a relaxed structure of Ho6Sb2Ir.

raw formation energy	-0.6742	eV per atom
density of states at the Fermi level	16.072	states/eV per cell
crystal system	monoclinic

a = 6.3579 Å, b = 7.9082 Å, c = 11.8102 Å
α = 90.00°, β = 120.92°, γ = 90.00°
Sites, in units of the cell vectors:
Ho  0.0903  0.1834  0.4547
Ho  0.0903  0.3166  0.9547
Ho  0.3171  0.6779  0.4549
Ho  0.3171  0.8221  0.9549
Ho  0.3757  0.0252  0.2456
Ho  0.3757  0.4748  0.7456
Ho  0.6243  0.5252  0.2544
Ho  0.6243  0.9748  0.7544
Ho  0.6829  0.1779  0.0451
Ho  0.6829  0.3221  0.5451
Ho  0.9097  0.6834  0.0453
Ho  0.9097  0.8166  0.5453
Sb  0.1561  0.1160  0.7490
Sb  0.1561  0.3840  0.2490
Sb  0.8439  0.6160  0.7510
Sb  0.8439  0.8840  0.2510
Ir  0.5000  0.0000  0.5000
Ir  0.5000  0.5000  0.0000



# 13
The following is a DFT calculation (PBE) of a relaxed structure of Ho4SbIr.

raw formation energy	-0.6474	eV per atom
density of states at the Fermi level	5.201	states/eV per cell
crystal system	monoclinic

a = 4.8491 Å, b = 4.8590 Å, c = 7.3156 Å
α = 90.00°, β = 90.07°, γ = 90.00°
Sites, in units of the cell vectors:
Ho  0.9997  0.0000  0.2231
Ho  0.0003  0.0000  0.7769
Ho  0.4995  0.5000  0.2230
Ho  0.5005  0.5000  0.7770
Sb  0.0000  0.5000  0.5000
Ir  0.5000  0.0000  0.0000



# 14
The following is a DFT calculation (PBE) of a relaxed structure of Ho5SbIr2.

raw formation energy	-0.8449	eV per atom
density of states at the Fermi level	12.466	states/eV per cell
crystal system	tetragonal

a = 8.6273 Å, b = 8.6273 Å, c = 8.6273 Å
α = 126.48°, β = 126.48°, γ = 79.10°
Sites, in units of the cell vectors:
Ho  0.0000  0.0000  0.0000
Ho  0.0229  0.5229  0.8142
Ho  0.2087  0.0229  0.5000
Ho  0.2913  0.7913  0.8142
Ho  0.4771  0.2913  0.5000
Ho  0.5000  0.5000  0.0000
Ho  0.5229  0.7087  0.5000
Ho  0.7087  0.2087  0.1858
Ho  0.7913  0.9771  0.5000
Ho  0.9771  0.4771  0.1858
Sb  0.2500  0.2500  0.0000
Sb  0.7500  0.7500  0.0000
Ir  0.1394  0.3606  0.5000
Ir  0.3606  0.8606  0.2211
Ir  0.6394  0.1394  0.7789
Ir  0.8606  0.6394  0.5000



# 15
The following is a DFT calculation (PBE) of a relaxed structure of Ho5Sb2Ir.

raw formation energy	-0.5442	eV per atom
density of states at the Fermi level	10.370	states/eV per cell
crystal system	orthorhombic

a = 5.4557 Å, b = 5.4557 Å, c = 16.0981 Å
α = 90.00°, β = 90.00°, γ = 115.92°
Sites, in units of the cell vectors:
Ho  0.0652  0.9348  0.5959
Ho  0.0652  0.9348  0.9041
Ho  0.2486  0.7514  0.2500
Ho  0.4020  0.5980  0.6377
Ho  0.4020  0.5980  0.8623
Ho  0.5980  0.4020  0.1377
Ho  0.5980  0.4020  0.3623
Ho  0.7514  0.2486  0.7500
Ho  0.9348  0.0652  0.0959
Ho  0.9348  0.0652  0.4041
Sb  0.2796  0.7204  0.0585
Sb  0.2796  0.7204  0.4415
Sb  0.7204  0.2796  0.5585
Sb  0.7204  0.2796  0.9415
Ir  0.1653  0.8347  0.7500
Ir  0.8347  0.1653  0.2500



# 16
The following is a DFT calculation (PBE) of a relaxed structure of Ho8Sb2Ir.

raw formation energy	-0.5457	eV per atom
density of states at the Fermi level	8.826	states/eV per cell
crystal system	monoclinic

a = 9.8532 Å, b = 9.8532 Å, c = 6.7354 Å
α = 103.24°, β = 103.24°, γ = 28.54°
Sites, in units of the cell vectors:
Ho  0.0174  0.0174  0.2834
Ho  0.2191  0.2191  0.8312
Ho  0.3547  0.3547  0.4866
Ho  0.4083  0.4083  0.0298
Ho  0.5917  0.5917  0.9702
Ho  0.6453  0.6453  0.5134
Ho  0.7809  0.7809  0.1688
Ho  0.9826  0.9826  0.7166
Sb  0.1813  0.1813  0.2636
Sb  0.8187  0.8187  0.7364
Ir  0.5000  0.5000  0.5000



# 17
The following is a DFT calculation (PBE) of a relaxed structure of Ho4SbIr.

raw formation energy	-0.7335	eV per atom
density of states at the Fermi level	10.567	states/eV per cell
crystal system	monoclinic

a = 6.0757 Å, b = 6.4616 Å, c = 8.7246 Å
α = 90.00°, β = 110.37°, γ = 90.00°
Sites, in units of the cell vectors:
Ho  0.0046  0.0006  0.2048
Ho  0.0046  0.4994  0.2048
Ho  0.3983  0.7500  0.6122
Ho  0.4328  0.7500  0.1010
Ho  0.5672  0.2500  0.8990
Ho  0.6017  0.2500  0.3878
Ho  0.9954  0.5006  0.7952
Ho  0.9954  0.9994  0.7952
Sb  0.2009  0.2500  0.5446
Sb  0.7991  0.7500  0.4554
Ir  0.2711  0.2500  0.0718
Ir  0.7289  0.7500  0.9282



# 18
The following is a DFT calculation (PBE) of a relaxed structure of Ho6SbIr2Se3.

raw formation energy	-1.3012	eV per atom
density of states at the Fermi level	4.559	states/eV per cell
crystal system	monoclinic

a = 9.3420 Å, b = 9.3420 Å, c = 8.4373 Å
α = 105.45°, β = 105.45°, γ = 25.18°
Sites, in units of the cell vectors:
Ho  0.0130  0.0130  0.2646
Ho  0.3263  0.3263  0.8820
Ho  0.3270  0.3270  0.4251
Ho  0.6730  0.6730  0.5749
Ho  0.6737  0.6737  0.1180
Ho  0.9870  0.9870  0.7354
Sb  0.5000  0.5000  0.0000
Ir  0.1702  0.1702  0.3434
Ir  0.8298  0.8298  0.6566
Se  0.1604  0.1604  0.8414
Se  0.5000  0.5000  0.5000
Se  0.8396  0.8396  0.1586



# 19
The following is a DFT calculation (PBE) of a relaxed structure of Ho3ScIr8.

density of states at the Fermi level	9.602	states/eV per cell
crystal system	trigonal
DFT formation energy	-0.7991	eV per atom

a = 9.2127 Å, b = 9.2127 Å, c = 9.2127 Å
α = 33.59°, β = 33.59°, γ = 33.59°
Sites, in units of the cell vectors:
Ho  0.0000  0.0000  0.0000
Ho  0.1259  0.1259  0.1259
Ho  0.6230  0.6230  0.6230
Sc  0.4989  0.4989  0.4989
Ir  0.0616  0.0616  0.5611
Ir  0.0616  0.5611  0.0616
Ir  0.0638  0.5625  0.5625
Ir  0.3122  0.3122  0.3122
Ir  0.5611  0.0616  0.0616
Ir  0.5625  0.0638  0.5625
Ir  0.5625  0.5625  0.0638
Ir  0.8123  0.8123  0.8123



# 20
The following is a DFT calculation (PBE) of a relaxed structure of Ho3ScIr4.

density of states at the Fermi level	3.873	states/eV per cell
crystal system	tetragonal
DFT formation energy	-0.8706	eV per atom

a = 4.6733 Å, b = 4.6733 Å, c = 13.9766 Å
α = 90.00°, β = 90.00°, γ = 90.00°
Sites, in units of the cell vectors:
Ho  0.0000  0.0000  0.0000
Ho  0.0000  0.0000  0.2509
Ho  0.0000  0.0000  0.7491
Ho  0.5000  0.5000  0.2491
Ho  0.5000  0.5000  0.5000
Ho  0.5000  0.5000  0.7509
Sc  0.0000  0.0000  0.5000
Sc  0.5000  0.5000  0.0000
Ir  0.0000  0.5000  0.1208
Ir  0.0000  0.5000  0.3792
Ir  0.0000  0.5000  0.6208
Ir  0.0000  0.5000  0.8792
Ir  0.5000  0.0000  0.1208
Ir  0.5000  0.0000  0.3792
Ir  0.5000  0.0000  0.6208
Ir  0.5000  0.0000  0.8792